## FeAgBr2F (GGA+U)

Data for a relaxed FeAgBr2F crystal.

Cell: 5.337 3.908 5.337 Å, 90.00 90.00 90.00°
Each line ends with the local moment (μB).
Atoms (fractional coordinates):
F  0.000  0.500  0.000  0.07
Br  0.000  0.000  0.500  0.03
Br  0.500  0.000  0.000  0.04
Ag  0.500  0.500  0.500  0.00
Fe  0.000  0.000  0.000  3.77

VASP energy = -18.4 eV per cell
Size of the total moment = 4.0 μB per formula unit
SG = P4/mmm (123)
V = 22.262 A^3/atom
Density = 5.11 g/cm3

## FeAg3Br2F6 (GGA+U)

Data for a relaxed FeAg3Br2F6 crystal.

Cell: 5.337 6.387 6.992 Å, 117.18 87.61 90.00°
Each line ends with the local moment (μB).
Atoms (fractional coordinates):
Fe  0.500  0.000  0.000  4.43
Ag  0.000  0.500  0.000  -0.17
Ag  0.500  0.500  0.500  -0.09
Ag  0.500  0.000  0.500  -0.09
Br  0.145  0.695  0.390  -0.13
Br  0.855  0.305  0.610  -0.13
F  0.703  0.289  0.129  0.05
F  0.297  0.711  0.871  0.05
F  0.698  0.864  0.729  0.05
F  0.302  0.136  0.271  0.05
F  0.297  0.160  0.871  0.05
F  0.703  0.840  0.129  0.05

VASP energy = -44.3 eV per cell
Size of the total moment = 4.1 μB per formula unit
SG = C2/m (12)
V = 17.649 A^3/atom
Density = 5.12 g/cm3